Entry 1:
This record from Alexandria describes an optimized crystal structure of TaBSCl2. The functional is PBE.

Cell: 4.847 4.847 4.793 Å, 90.00 90.00 90.00°
Atoms (fractional coordinates):
Ta: 0.000 0.000 0.000
B: 0.500 0.500 0.500
S: 0.000 0.000 0.500
Cl: 0.000 0.500 0.000
Cl: 0.500 0.000 0.000

Calculated values
The value obtained for the energy relative to the elements, uncorrected is 0.466 eV per atom. The polymorph energy (0 for the lowest one) is 0.000 eV per atom.


Entry 2:
This record from Alexandria describes an optimized crystal structure of NbZnPd4. The functional is PBE.

Cell: 7.883 7.883 5.431 Å, 100.84 100.84 137.71°
Atoms (fractional coordinates):
Nb: 0.125 0.875 0.750
Nb: 0.875 0.125 0.250
Zn: 0.375 0.625 0.250
Zn: 0.625 0.375 0.750
Pd: 0.027 0.468 0.749
Pd: 0.222 0.281 0.749
Pd: 0.281 0.222 0.249
Pd: 0.468 0.027 0.249
Pd: 0.532 0.973 0.751
Pd: 0.719 0.778 0.751
Pd: 0.778 0.719 0.251
Pd: 0.973 0.532 0.251

Calculated values
The energy relative to the elements comes out at -0.232 eV per atom.


Entry 3:
This record from Alexandria describes an optimized crystal structure of CdSiO3. The functional is PBE.

Cell: 7.088 7.367 15.332 Å, 90.00 95.20 90.00°
Atoms (fractional coordinates):
Cd: 0.012 0.122 0.248
Cd: 0.012 0.378 0.748
Cd: 0.248 0.625 0.597
Cd: 0.248 0.875 0.097
Cd: 0.255 0.119 0.603
Cd: 0.255 0.381 0.103
Cd: 0.745 0.619 0.897
Cd: 0.745 0.881 0.397
Cd: 0.752 0.125 0.903
Cd: 0.752 0.375 0.403
Cd: 0.988 0.622 0.252
Cd: 0.988 0.878 0.752
Si: 0.238 0.165 0.910
Si: 0.238 0.335 0.410
Si: 0.239 0.591 0.910
Si: 0.239 0.909 0.410
Si: 0.451 0.621 0.303
Si: 0.451 0.879 0.803
Si: 0.549 0.121 0.197
Si: 0.549 0.379 0.697
Si: 0.761 0.091 0.590
Si: 0.761 0.409 0.090
Si: 0.762 0.665 0.590
Si: 0.762 0.835 0.090
O: 0.041 0.127 0.846
O: 0.041 0.373 0.346
O: 0.041 0.631 0.849
O: 0.041 0.869 0.349
O: 0.224 0.124 0.012
O: 0.224 0.376 0.512
O: 0.235 0.629 0.014
O: 0.235 0.871 0.514
O: 0.297 0.122 0.399
O: 0.297 0.378 0.899
O: 0.304 0.620 0.215
O: 0.304 0.880 0.715
O: 0.320 0.122 0.202
O: 0.320 0.378 0.702
O: 0.413 0.057 0.867
O: 0.413 0.443 0.367
O: 0.413 0.700 0.867
O: 0.413 0.800 0.367
O: 0.587 0.200 0.633
O: 0.587 0.300 0.133
O: 0.587 0.557 0.633
O: 0.587 0.943 0.133
O: 0.680 0.622 0.298
O: 0.680 0.878 0.798
O: 0.696 0.120 0.285
O: 0.696 0.380 0.785
O: 0.703 0.622 0.101
O: 0.703 0.878 0.601
O: 0.765 0.129 0.486
O: 0.765 0.371 0.986
O: 0.776 0.624 0.488
O: 0.776 0.876 0.988
O: 0.959 0.131 0.651
O: 0.959 0.369 0.151
O: 0.959 0.627 0.654
O: 0.959 0.873 0.154

Calculated values
The value obtained for the energy relative to the elements, uncorrected is -2.125 eV per atom.


Entry 4:
This record from Alexandria describes an optimized crystal structure of Pm2Pr3S4. The functional is PBE.

Cell: 4.039 4.039 16.572 Å, 90.00 90.00 120.00°
Atoms (fractional coordinates):
Pm: 0.333 0.667 0.204
Pm: 0.667 0.333 0.796
Pr: 0.000 0.000 0.000
Pr: 0.333 0.667 0.595
Pr: 0.667 0.333 0.405
S: 0.000 0.000 0.302
S: 0.000 0.000 0.698
S: 0.333 0.667 0.896
S: 0.667 0.333 0.104

Calculated values
The value obtained for the energy relative to the elements, uncorrected is -1.763 eV per atom.


Entry 5:
This record from Alexandria describes an optimized crystal structure of Gd3IrPb. The functional is PBE.

Cell: 5.403 5.403 5.403 Å, 90.00 90.00 90.00°
Atoms (fractional coordinates):
Gd: 0.000 0.000 0.500
Gd: 0.000 0.500 0.000
Gd: 0.500 0.000 0.000
Ir: 0.000 0.000 0.000
Pb: 0.500 0.500 0.500

Calculated values
The energy relative to the elements comes out at -0.469 eV per atom.


Entry 6:
This record from Alexandria describes an optimized crystal structure of BeInCu2. The functional is PBE.

Cell: 8.322 8.322 8.322 Å, 19.64 19.64 19.64°
Atoms (fractional coordinates):
Be: 0.000 0.000 0.000
In: 0.500 0.500 0.500
Cu: 0.264 0.264 0.264
Cu: 0.736 0.736 0.736

Calculated values
The energy relative to the elements comes out at 0.319 eV per atom. The polymorph energy (0 for the lowest one) is 0.256 eV per atom.